# 1
Crystalline Li2Ag3 at its relaxed geometry. Source: Alexandria, functional PBE.

ρ = 6.878 g/cm³
Energy of formation = -0.173 eV per atom
DOS at the Fermi energy = 1.2 states/eV/cell
Crystal system = orthorhombic
Spin magnetization = 0.0 Bohr magnetons per cell
SG = Fmmm (69)

Cell and atoms, written as POSCAR:
```
Li2Ag3
1.0
3.228 -0.007 0.000
-0.010 3.228 0.000
-1.609 -1.610 7.821
Li Ag
2 3
direct
0.901 0.401 0.802
0.099 0.599 0.198
0.693 0.193 0.387
0.307 0.807 0.613
0.500 0.000 0.000
```

***

# 2
Crystalline Li2Ag3 at its relaxed geometry. Source: Alexandria, functional PBE.

ρ = 7.008 g/cm³
Energy of formation = -0.076 eV per atom
DOS at the Fermi energy = 2.9 states/eV/cell
Crystal system = trigonal
Spin magnetization = 0.0 Bohr magnetons per cell
SG = R-3c (167)

Cell and atoms, written as POSCAR:
```
Li2Ag3
1.0
-7.285 0.860 2.201
-1.958 -1.189 7.308
-2.529 2.923 3.811
Ag Li
6 4
direct
0.076 0.750 0.750
0.750 0.424 0.750
0.424 0.076 0.750
0.250 0.576 0.250
0.576 0.924 0.250
0.924 0.250 0.250
0.876 0.876 0.372
0.376 0.376 0.872
0.124 0.124 0.628
0.624 0.624 0.128
```

***

# 3
Crystalline Li11Ag4 at its relaxed geometry. Source: Alexandria, functional PBE.

ρ = 3.217 g/cm³
Energy of formation = -0.075 eV per atom
DOS at the Fermi energy = 14.9 states/eV/cell
Crystal system = tetragonal
Spin magnetization = 0.0 Bohr magnetons per cell
SG = P4_2/mnm (136)

Cell and atoms, written as POSCAR:
```
Li11Ag4
1.0
5.218 0.000 0.000
0.000 10.023 0.000
0.000 0.000 10.023
Li Ag
22 8
direct
0.000 0.000 0.000
0.500 0.500 0.500
0.000 0.396 0.604
0.000 0.604 0.396
0.500 0.896 0.896
0.500 0.104 0.104
0.000 0.050 0.278
0.000 0.950 0.722
0.500 0.222 0.550
0.500 0.778 0.450
0.500 0.450 0.778
0.500 0.550 0.222
0.000 0.278 0.050
0.000 0.722 0.950
0.247 0.308 0.308
0.247 0.692 0.692
0.747 0.192 0.808
0.747 0.808 0.192
0.253 0.192 0.808
0.253 0.808 0.192
0.753 0.308 0.308
0.753 0.692 0.692
0.000 0.142 0.531
0.000 0.858 0.469
0.500 0.969 0.642
0.500 0.031 0.358
0.500 0.358 0.031
0.500 0.642 0.969
0.000 0.531 0.142
0.000 0.469 0.858
```

***

# 4
Crystalline Li13Ag3 at its relaxed geometry. Source: Alexandria, functional PBE.

ρ = 2.416 g/cm³
Energy of formation = -0.092 eV per atom
DOS at the Fermi energy = 6.7 states/eV/cell
Crystal system = orthorhombic
Spin magnetization = 0.0 Bohr magnetons per cell
SG = Amm2 (38)

Cell and atoms, written as POSCAR:
```
Li13Ag3
1.0
6.008 -0.119 0.000
-0.140 6.008 0.000
0.000 0.000 7.885
Li Ag
13 3
direct
0.508 0.007 0.241
0.505 0.495 0.235
0.993 0.492 0.241
0.764 0.772 0.000
0.228 0.236 0.000
0.233 0.767 0.000
0.508 0.007 0.759
0.505 0.495 0.765
0.993 0.492 0.759
0.765 0.235 0.500
0.760 0.755 0.500
0.245 0.240 0.500
0.241 0.759 0.500
0.003 0.997 0.254
0.746 0.254 0.000
0.003 0.997 0.746
```

***

# 5
Crystalline Li4Ag at its relaxed geometry. Source: Alexandria, functional PBE.

ρ = 1.992 g/cm³
Energy of formation = 0.048 eV per atom
DOS at the Fermi energy = 2.7 states/eV/cell
Crystal system = cubic
Spin magnetization = 0.0 Bohr magnetons per cell
SG = Im-3m (229)

Cell and atoms, written as POSCAR:
```
Li4Ag
1.0
-0.270 1.243 5.120
4.102 2.484 -2.199
-4.453 1.487 -2.408
Li Ag
4 1
direct
0.500 0.000 0.000
0.500 0.500 0.500
0.000 0.500 0.000
0.000 0.000 0.500
0.000 0.000 0.000
```

***

# 6
Crystalline Li7Ag6 at its relaxed geometry. Source: Alexandria, functional PBE.

ρ = 5.567 g/cm³
Energy of formation = -0.066 eV per atom
DOS at the Fermi energy = 2.4 states/eV/cell
Crystal system = trigonal
Spin magnetization = 0.0 Bohr magnetons per cell
SG = R-3m (166)

Cell and atoms, written as POSCAR:
```
Li7Ag6
1.0
9.781 0.044 0.027
8.446 4.932 0.027
8.446 2.306 4.360
Ag Li
6 7
direct
0.952 0.952 0.952
0.048 0.048 0.048
0.849 0.849 0.849
0.151 0.151 0.151
0.665 0.665 0.665
0.335 0.335 0.335
0.921 0.408 0.408
0.408 0.408 0.921
0.408 0.921 0.408
0.079 0.592 0.592
0.592 0.079 0.592
0.592 0.592 0.079
0.500 0.500 0.500
```

***

# 7
Crystalline LiAg15 at its relaxed geometry. Source: Alexandria, functional PBE.

ρ = 9.488 g/cm³
Energy of formation = -0.006 eV per atom
DOS at the Fermi energy = 4.8 states/eV/cell
Crystal system = hexagonal
Spin magnetization = 0.0 Bohr magnetons per cell
SG = P-6m2 (187)

Cell and atoms, written as POSCAR:
```
LiAg15
1.0
5.877 0.000 0.000
-2.938 5.089 0.000
0.000 0.000 9.509
Li Ag
1 15
direct
0.000 0.000 0.000
0.000 0.000 0.500
0.000 0.500 0.000
0.000 0.500 0.500
0.500 0.000 0.000
0.500 0.000 0.500
0.500 0.500 0.000
0.500 0.500 0.500
0.835 0.165 0.248
0.835 0.165 0.752
0.835 0.669 0.248
0.835 0.669 0.752
0.331 0.165 0.248
0.331 0.165 0.752
0.333 0.667 0.249
0.333 0.667 0.751
```

***

# 8
Crystalline Li2Ag3 at its relaxed geometry. Source: Alexandria, functional PBE.

ρ = 6.685 g/cm³
Energy of formation = -0.163 eV per atom
DOS at the Fermi energy = 2.4 states/eV/cell
Crystal system = orthorhombic
Spin magnetization = 0.0 Bohr magnetons per cell
SG = Fdd2 (43)

Cell and atoms, written as POSCAR:
```
Li2Ag3
1.0
0.000 4.834 6.852
2.531 0.000 6.852
2.531 4.834 0.000
Li Ag
4 6
direct
0.195 0.906 0.354
0.544 0.354 0.906
0.344 0.055 0.706
0.896 0.706 0.055
0.730 0.473 0.345
0.451 0.345 0.473
0.777 0.520 0.799
0.905 0.799 0.520
0.079 0.921 0.921
0.329 0.171 0.171
```

***

# 9
Crystalline Li5Ag at its relaxed geometry. Source: Alexandria, functional PBE.

ρ = 2.223 g/cm³
Energy of formation = -0.082 eV per atom
DOS at the Fermi energy = 2.6 states/eV/cell
Crystal system = orthorhombic
Spin magnetization = 0.0 Bohr magnetons per cell
SG = Cmmm (65)

Cell and atoms, written as POSCAR:
```
Li5Ag
1.0
-0.367 -6.888 0.765
2.634 5.645 -3.058
3.305 0.176 3.172
Ag Li
1 5
direct
0.972 0.028 0.000
0.313 0.687 0.000
0.632 0.368 0.000
0.472 0.528 0.500
0.809 0.191 0.500
0.135 0.865 0.500
```

***

# 10
Crystalline Li8Ag3 at its relaxed geometry. Source: Alexandria, functional PBE.

ρ = 3.433 g/cm³
Energy of formation = -0.156 eV per atom
DOS at the Fermi energy = 3.9 states/eV/cell
Crystal system = monoclinic
Spin magnetization = 0.0 Bohr magnetons per cell
SG = C2/m (12)

Cell and atoms, written as POSCAR:
```
Li8Ag3
1.0
-2.585 -2.647 1.948
3.735 -2.100 -2.386
4.064 2.669 9.020
Li Ag
8 3
direct
0.727 0.453 0.092
0.273 0.547 0.908
0.550 0.099 0.819
0.450 0.901 0.181
0.824 0.648 0.727
0.176 0.352 0.273
0.630 0.261 0.458
0.370 0.739 0.542
0.000 0.000 0.000
0.902 0.804 0.362
0.098 0.196 0.638
```

***

# 11
Crystalline Li2Ag at its relaxed geometry. Source: Alexandria, functional PBE.

ρ = 3.569 g/cm³
Energy of formation = -0.139 eV per atom
DOS at the Fermi energy = 1.7 states/eV/cell
Crystal system = tetragonal
Spin magnetization = 0.0 Bohr magnetons per cell
SG = I4/mcm (140)

Cell and atoms, written as POSCAR:
```
Li2Ag
1.0
5.301 -0.025 0.000
-2.355 4.749 0.000
-1.473 -2.362 4.511
Ag Li
2 4
direct
0.750 0.750 0.000
0.250 0.250 0.000
0.334 0.166 0.500
0.666 0.834 0.500
0.166 0.666 0.833
0.834 0.334 0.167
```

***

# 12
Crystalline Li6Ag at its relaxed geometry. Source: Alexandria, functional PBE.

ρ = 1.975 g/cm³
Energy of formation = -0.076 eV per atom
DOS at the Fermi energy = 3.0 states/eV/cell
Crystal system = trigonal
Spin magnetization = 0.0 Bohr magnetons per cell
SG = R-3m (166)

Cell and atoms, written as POSCAR:
```
Li6Ag
1.0
-3.992 -1.944 1.420
-0.796 -4.526 -0.784
1.225 -3.668 6.075
Li Ag
6 1
direct
0.712 0.712 0.864
0.424 0.424 0.727
0.138 0.138 0.587
0.862 0.862 0.413
0.576 0.576 0.273
0.288 0.288 0.136
0.000 0.000 0.000
```